No. 1
Here is an optimized crystal structure of Ca2MgRe from Alexandria via LeMat-Bulk. Energies are from PBE-GGA.

a = 4.1170 Å, b = 4.5048 Å, c = 10.2969 Å
α = 90.00°, β = 90.00°, γ = 90.00°
Space group Cmmm (No. 65)
Symmetry-distinct sites (fractional):
Ca 0.0000 0.0000 0.2182 x4
Mg 0.0000 0.5000 0.5000 x2
Re 0.0000 0.5000 0.0000 x2

***

No. 2
Here is an optimized crystal structure of Ca2MgRe from Alexandria via LeMat-Bulk. Energies are from PBE-GGA.

a = 4.2753 Å, b = 4.2753 Å, c = 21.0809 Å
α = 90.00°, β = 90.00°, γ = 90.00°
Space group I-42d (No. 122)
Symmetry-distinct sites (fractional):
Ca 0.2353 0.2500 0.1250 x8
Mg 0.0000 0.0000 0.5000 x4
Re 0.0000 0.0000 0.0000 x4

***

No. 3
Here is an optimized crystal structure of CaMgRe from Alexandria via LeMat-Bulk. Energies are from PBE-GGA.

a = 3.7716 Å, b = 4.3459 Å, c = 14.8357 Å
α = 90.00°, β = 90.00°, γ = 90.00°
Space group Fmm2 (No. 42)
Symmetry-distinct sites (fractional):
Ca 0.0000 0.0000 0.0000 x4
Mg 0.0000 0.0000 0.3028 x4
Re 0.0000 0.0000 0.6600 x4

***

No. 4
Here is an optimized crystal structure of Ca2MgRe from Alexandria via LeMat-Bulk. Energies are from PBE-GGA.

a = 6.6007 Å, b = 9.2479 Å, c = 3.0639 Å
α = 90.00°, β = 90.00°, γ = 90.00°
Space group Cmmm (No. 65)
Symmetry-distinct sites (fractional):
Ca 0.2500 0.2500 0.0000 x4
Mg 0.0000 0.0000 0.5000 x2
Re 0.0000 0.5000 0.5000 x2

***

No. 5
Here is an optimized crystal structure of Ca2MgRe from Alexandria via LeMat-Bulk. Energies are from PBE-GGA.

a = 3.1071 Å, b = 5.5211 Å, c = 11.6749 Å
α = 90.00°, β = 90.00°, γ = 90.00°
Space group Imm2 (No. 44)
Symmetry-distinct sites (fractional):
Ca 0.0000 0.0000 0.0000 x2
Ca 0.0000 0.5000 0.1938 x2
Mg 0.0000 0.5000 0.7822 x2
Re 0.0000 0.0000 0.4744 x2

***

No. 6
Here is an optimized crystal structure of Ca3MgRe from Alexandria via LeMat-Bulk. Energies are from PBE-GGA.

a = 5.5667 Å, b = 5.5667 Å, c = 5.5667 Å
α = 90.00°, β = 90.00°, γ = 90.00°
Space group Pm-3m (No. 221)
Symmetry-distinct sites (fractional):
Ca 0.0000 0.0000 0.5000 x3
Mg 0.5000 0.5000 0.5000 x1
Re 0.0000 0.0000 0.0000 x1

***

No. 7
Here is an optimized crystal structure of Ca2MgRe from Alexandria via LeMat-Bulk. Energies are from PBE-GGA.

a = 7.1756 Å, b = 7.1756 Å, c = 7.1756 Å
α = 90.00°, β = 90.00°, γ = 90.00°
Space group F-43m (No. 216)
Symmetry-distinct sites (fractional):
Ca 0.0000 0.0000 0.0000 x4
Ca 0.2500 0.2500 0.2500 x4
Mg 0.0000 0.0000 0.5000 x4
Re 0.2500 0.2500 0.7500 x4

***

No. 8
Here is an optimized crystal structure of Ca2MgRe from Alexandria via LeMat-Bulk. Energies are from PBE-GGA.

a = 3.1329 Å, b = 3.1329 Å, c = 10.0946 Å
α = 90.00°, β = 90.00°, γ = 90.00°
Space group P4mm (No. 99)
Symmetry-distinct sites (fractional):
Ca 0.0000 0.0000 0.0000 x1
Ca 0.5000 0.5000 0.3373 x1
Mg 0.0000 0.0000 0.6075 x1
Re 0.5000 0.5000 0.7870 x1

***

No. 9
Here is an optimized crystal structure of CaMgRe from Alexandria via LeMat-Bulk. Energies are from PBE-GGA.

a = 2.7669 Å, b = 4.5345 Å, c = 9.5838 Å
α = 90.00°, β = 90.00°, γ = 90.00°
Space group Imm2 (No. 44)
Symmetry-distinct sites (fractional):
Ca 0.0000 0.0000 0.0000 x2
Mg 0.0000 0.0000 0.6922 x2
Re 0.0000 0.0000 0.3217 x2

***

No. 10
Here is an optimized crystal structure of CaMgRe4 from Alexandria via LeMat-Bulk. Energies are from PBE-GGA.

a = 7.5477 Å, b = 7.5477 Å, c = 7.5477 Å
α = 90.00°, β = 90.00°, γ = 90.00°
Space group F-43m (No. 216)
Symmetry-distinct sites (fractional):
Ca 0.0000 0.0000 0.0000 x4
Mg 0.2500 0.2500 0.7500 x4
Re 0.1246 0.1246 0.3754 x16

***

No. 11
Here is an optimized crystal structure of Ca2MgRe from Alexandria via LeMat-Bulk. Energies are from PBE-GGA.

a = 10.2585 Å, b = 2.9987 Å, c = 6.1286 Å
α = 90.00°, β = 96.03°, γ = 90.00°
Space group C2/m (No. 12)
Symmetry-distinct sites (fractional):
Ca 0.2407 0.0000 0.2290 x4
Mg 0.0000 0.0000 0.5000 x2
Re 0.0000 0.5000 0.0000 x2

***

No. 12
Here is an optimized crystal structure of CaMg3Re from Alexandria via LeMat-Bulk. Energies are from PBE-GGA.

a = 5.1137 Å, b = 5.1137 Å, c = 5.1137 Å
α = 90.00°, β = 90.00°, γ = 90.00°
Space group Pm-3m (No. 221)
Symmetry-distinct sites (fractional):
Ca 0.0000 0.0000 0.0000 x1
Mg 0.0000 0.5000 0.5000 x3
Re 0.5000 0.5000 0.5000 x1

***

No. 13
Here is an optimized crystal structure of Ca2MgRe from Alexandria via LeMat-Bulk. Energies are from PBE-GGA.

a = 4.4929 Å, b = 4.4929 Å, c = 4.6319 Å
α = 90.00°, β = 90.00°, γ = 90.00°
Space group P4/mmm (No. 123)
Symmetry-distinct sites (fractional):
Ca 0.0000 0.5000 0.0000 x2
Mg 0.0000 0.0000 0.5000 x1
Re 0.5000 0.5000 0.5000 x1

***

No. 14
Here is an optimized crystal structure of Ca2MgRe from Alexandria via LeMat-Bulk. Energies are from PBE-GGA.

a = 11.6127 Å, b = 3.0371 Å, c = 5.6541 Å
α = 90.00°, β = 105.44°, γ = 90.00°
Space group Cm (No. 8)
Symmetry-distinct sites (fractional):
Ca 0.0000 0.0000 0.0000 x2
Ca 0.1951 0.0000 0.6222 x2
Mg 0.4232 0.0000 0.4391 x2
Re 0.2437 0.5000 0.1375 x2

***

No. 15
Here is an optimized crystal structure of Ca2MgRe from Alexandria via LeMat-Bulk. Energies are from PBE-GGA.

a = 5.5501 Å, b = 5.5501 Å, c = 3.0861 Å
α = 90.00°, β = 90.00°, γ = 90.00°
Space group P4/mmm (No. 123)
Symmetry-distinct sites (fractional):
Ca 0.0000 0.5000 0.0000 x2
Mg 0.0000 0.0000 0.5000 x1
Re 0.5000 0.5000 0.5000 x1

***

No. 16
Here is an optimized crystal structure of Ca2MgRe from Alexandria via LeMat-Bulk. Energies are from PBE-GGA.

a = 2.9934 Å, b = 4.6447 Å, c = 6.7882 Å
α = 90.00°, β = 90.20°, γ = 90.00°
Space group P2/m (No. 10)
Symmetry-distinct sites (fractional):
Ca 0.0004 0.0000 0.2259 x2
Mg 0.5000 0.5000 0.5000 x1
Re 0.5000 0.5000 0.0000 x1

***

No. 17
Here is an optimized crystal structure of Ca2MgRe from Alexandria via LeMat-Bulk. Energies are from PBE-GGA.

a = 4.7543 Å, b = 4.7543 Å, c = 8.4660 Å
α = 90.00°, β = 90.00°, γ = 90.00°
Space group I4/mmm (No. 139)
Symmetry-distinct sites (fractional):
Ca 0.0000 0.5000 0.2500 x4
Mg 0.0000 0.0000 0.0000 x2
Re 0.0000 0.0000 0.5000 x2

***

No. 18
Here is an optimized crystal structure of Ca3MgRe from Alexandria via LeMat-Bulk. Energies are from PBE-GGA.

a = 5.5451 Å, b = 5.5451 Å, c = 5.5451 Å
α = 90.00°, β = 90.00°, γ = 90.00°
Space group Pm-3m (No. 221)
Symmetry-distinct sites (fractional):
Ca 0.0000 0.0000 0.5000 x3
Mg 0.0000 0.0000 0.0000 x1
Re 0.5000 0.5000 0.5000 x1

***

No. 19
Here is an optimized crystal structure of CaMgRe3 from Alexandria via LeMat-Bulk. Energies are from PBE-GGA.

a = 4.6604 Å, b = 4.6604 Å, c = 4.6604 Å
α = 90.00°, β = 90.00°, γ = 90.00°
Space group Pm-3m (No. 221)
Symmetry-distinct sites (fractional):
Ca 0.0000 0.0000 0.0000 x1
Mg 0.5000 0.5000 0.5000 x1
Re 0.0000 0.0000 0.5000 x3

***

No. 20
Here is an optimized crystal structure of Ca2MgRe from Alexandria via LeMat-Bulk. Energies are from PBE-GGA.

a = 4.6236 Å, b = 4.6236 Å, c = 8.6478 Å
α = 90.00°, β = 90.00°, γ = 90.00°
Space group I-4m2 (No. 119)
Symmetry-distinct sites (fractional):
Ca 0.0000 0.0000 0.0000 x2
Ca 0.0000 0.5000 0.2500 x2
Mg 0.0000 0.5000 0.7500 x2
Re 0.0000 0.0000 0.5000 x2

***

No. 21
Here is an optimized crystal structure of Ca2MgRe from Alexandria via LeMat-Bulk. Energies are from PBE-GGA.

a = 3.5444 Å, b = 3.5444 Å, c = 8.2453 Å
α = 90.00°, β = 90.00°, γ = 90.00°
Space group P4mm (No. 99)
Symmetry-distinct sites (fractional):
Ca 0.0000 0.0000 0.0000 x1
Ca 0.5000 0.5000 0.3816 x1
Mg 0.0000 0.0000 0.6359 x1
Re 0.5000 0.5000 0.7710 x1

***

No. 22
Here is an optimized crystal structure of CaMgRe from Alexandria via LeMat-Bulk. Energies are from PBE-GGA.

a = 4.9866 Å, b = 4.9866 Å, c = 2.7497 Å
α = 90.00°, β = 90.00°, γ = 120.00°
Space group P3m1 (No. 156)
Symmetry-distinct sites (fractional):
Ca 0.0000 0.0000 0.0000 x1
Mg 0.3333 0.6667 0.3589 x1
Re 0.6667 0.3333 0.5853 x1

***

No. 23
Here is an optimized crystal structure of CaMgRe from Alexandria via LeMat-Bulk. Energies are from PBE-GGA.

a = 6.8216 Å, b = 6.8216 Å, c = 6.8216 Å
α = 90.00°, β = 90.00°, γ = 90.00°
Space group F-43m (No. 216)
Symmetry-distinct sites (fractional):
Ca 0.0000 0.0000 0.0000 x4
Mg 0.0000 0.0000 0.5000 x4
Re 0.2500 0.2500 0.7500 x4

***

No. 24
Here is an optimized crystal structure of Ca2MgRe from Alexandria via LeMat-Bulk. Energies are from PBE-GGA.

a = 3.0972 Å, b = 3.0972 Å, c = 10.1192 Å
α = 90.00°, β = 90.00°, γ = 90.00°
Space group P4/mmm (No. 123)
Symmetry-distinct sites (fractional):
Ca 0.0000 0.0000 0.2160 x2
Mg 0.5000 0.5000 0.5000 x1
Re 0.5000 0.5000 0.0000 x1

***

No. 25
Here is an optimized crystal structure of CaMgRe from Alexandria via LeMat-Bulk. Energies are from PBE-GGA.

a = 2.8573 Å, b = 2.8573 Å, c = 14.8189 Å
α = 90.00°, β = 90.00°, γ = 90.00°
Space group I4mm (No. 107)
Symmetry-distinct sites (fractional):
Ca 0.0000 0.0000 0.0000 x2
Mg 0.0000 0.0000 0.3052 x2
Re 0.0000 0.0000 0.6621 x2

***

No. 26
Here is an optimized crystal structure of Ca2MgRe from Alexandria via LeMat-Bulk. Energies are from PBE-GGA.

a = 5.6537 Å, b = 3.0479 Å, c = 5.8246 Å
α = 90.00°, β = 113.44°, γ = 90.00°
Space group P2/m (No. 10)
Symmetry-distinct sites (fractional):
Ca 0.0000 0.0000 0.0000 x1
Ca 0.0000 0.5000 0.5000 x1
Mg 0.5000 0.0000 0.5000 x1
Re 0.5000 0.5000 0.0000 x1

***

No. 27
Here is an optimized crystal structure of Ca4MgRe from Alexandria via LeMat-Bulk. Energies are from PBE-GGA.

a = 8.9141 Å, b = 8.9141 Å, c = 8.9141 Å
α = 90.00°, β = 90.00°, γ = 90.00°
Space group F-43m (No. 216)
Symmetry-distinct sites (fractional):
Ca 0.1238 0.1238 0.3762 x16
Mg 0.0000 0.0000 0.0000 x4
Re 0.2500 0.2500 0.7500 x4

***

No. 28
Here is an optimized crystal structure of CaMgReRu2 from Alexandria via LeMat-Bulk. Energies are from PBE-GGA.

a = 4.7192 Å, b = 4.7192 Å, c = 5.2444 Å
α = 90.00°, β = 90.00°, γ = 90.00°
Space group P4/mmm (No. 123)
Symmetry-distinct sites (fractional):
Ca 0.0000 0.0000 0.0000 x1
Mg 0.5000 0.5000 0.0000 x1
Re 0.0000 0.0000 0.5000 x1
Ru 0.0000 0.5000 0.5000 x2

***

No. 29
Here is an optimized crystal structure of SrCaMgRe2 from Alexandria via LeMat-Bulk. Energies are from PBE-GGA.

a = 4.9348 Å, b = 4.9348 Å, c = 5.2054 Å
α = 90.00°, β = 90.00°, γ = 90.00°
Space group P4/mmm (No. 123)
Symmetry-distinct sites (fractional):
Sr 0.0000 0.0000 0.0000 x1
Ca 0.0000 0.0000 0.5000 x1
Mg 0.5000 0.5000 0.5000 x1
Re 0.0000 0.5000 0.0000 x2

***

No. 30
Here is an optimized crystal structure of CaMgTl2Re from Alexandria via LeMat-Bulk. Energies are from PBE-GGA.

a = 5.3799 Å, b = 5.3799 Å, c = 5.3991 Å
α = 90.00°, β = 90.00°, γ = 90.00°
Space group P4/mmm (No. 123)
Symmetry-distinct sites (fractional):
Ca 0.0000 0.0000 0.0000 x1
Mg 0.5000 0.5000 0.0000 x1
Tl 0.0000 0.5000 0.5000 x2
Re 0.0000 0.0000 0.5000 x1

***

Number 1: formation energy from the elements 0.56 eV/atom. Number 2: formation energy from the elements 1.03 eV/atom. Number 3: formation energy from the elements 0.56 eV/atom. Number 4: formation energy from the elements 0.65 eV/atom. Number 5: formation energy from the elements 0.54 eV/atom. Number 6: formation energy from the elements 0.69 eV/atom. Number 7: formation energy from the elements 0.65 eV/atom. Number 8: formation energy from the elements 0.58 eV/atom. Number 9: formation energy from the elements 0.57 eV/atom. Number 10: formation energy from the elements 0.24 eV/atom. Number 11: formation energy from the elements 0.70 eV/atom. Number 12: formation energy from the elements 0.57 eV/atom. Number 13: formation energy from the elements 0.70 eV/atom. Number 14: formation energy from the elements 0.51 eV/atom. Number 15: formation energy from the elements 0.66 eV/atom. Number 16: formation energy from the elements 0.59 eV/atom. Number 17: formation energy from the elements 0.65 eV/atom. Number 18: formation energy from the elements 1.60 eV/atom. Number 19: formation energy from the elements 2.97 eV/atom. Number 20: formation energy from the elements 0.65 eV/atom. Number 21: formation energy from the elements 0.54 eV/atom. Number 22: formation energy from the elements 0.58 eV/atom. Number 23: formation energy from the elements 1.21 eV/atom. Number 24: formation energy from the elements 0.56 eV/atom. Number 25: formation energy from the elements 0.56 eV/atom. Number 26: formation energy from the elements 0.75 eV/atom. Number 27: formation energy from the elements 1.05 eV/atom. Number 28: formation energy from the elements 1.01 eV/atom. Number 29: formation energy from the elements 2.45 eV/atom. Number 30: formation energy from the elements 0.66 eV/atom.